# 1
# LaNd6Tl

LaNd6Tl after structural relaxation (PBE-GGA, Alexandria). Values from VASP.

## Properties
SG   P-1 (2)
Formation energy from the elements   0.0055 eV/atom
Energy above the most stable polymorph in this dataset   82.3 meV/atom

Structure (Quantum ESPRESSO input):
```
&SYSTEM
  ibrav = 0, nat = 8, ntyp = 3
/
ATOMIC_SPECIES
La 138.91 La.upf
Nd 144.24 Nd.upf
Tl 204.38 Tl.upf
CELL_PARAMETERS angstrom
6.4484 0.0000 0.0000
-0.0146 6.4502 0.0000
-0.0582 -0.0235 6.4557
ATOMIC_POSITIONS crystal
La 0.0000 0.0000 0.0000
Nd 0.0007 0.7417 0.4987
Nd 0.2582 0.5004 0.0006
Nd 0.4966 0.9984 0.7416
Nd 0.5034 0.0016 0.2584
Nd 0.7418 0.4996 0.9994
Nd 0.9993 0.2583 0.5013
Tl 0.5000 0.5000 0.5000
```

# 2
# Li4Dy3ZrTe8

Li4Dy3ZrTe8 after structural relaxation (PBE-GGA, Alexandria). Values from VASP.

## Properties
SG   R-3m (166)
Energy relative to the elements, uncorrected   -1179 meV per atom

Structure (Quantum ESPRESSO input):
```
&SYSTEM
  ibrav = 0, nat = 16, ntyp = 4
/
ATOMIC_SPECIES
Li 6.94 Li.upf
Dy 162.50 Dy.upf
Zr 91.22 Zr.upf
Te 127.60 Te.upf
CELL_PARAMETERS angstrom
4.2628 2.4611 7.0765
-4.2628 2.4611 7.0765
0.0000 -4.9222 7.0765
ATOMIC_POSITIONS crystal
Li 0.0000 0.0000 0.0000
Li 0.0000 0.5000 0.5000
Li 0.5000 0.0000 0.5000
Li 0.5000 0.5000 0.0000
Dy 0.0000 0.0000 0.5000
Dy 0.0000 0.5000 0.0000
Dy 0.5000 0.0000 0.0000
Zr 0.5000 0.5000 0.5000
Te 0.2531 0.2531 0.2531
Te 0.2541 0.2541 0.7385
Te 0.2541 0.7385 0.2541
Te 0.2615 0.7459 0.7459
Te 0.7385 0.2541 0.2541
Te 0.7459 0.2615 0.7459
Te 0.7459 0.7459 0.2615
Te 0.7469 0.7469 0.7469
```

# 3
# SrLaRe2

SrLaRe2 after structural relaxation (PBE-GGA, Alexandria). Values from VASP.

## Properties
SG   C2/m (12)
Formation energy from the elements   1.0857 eV/atom
Energy above the most stable polymorph in this dataset   860.7 meV/atom

Structure (Quantum ESPRESSO input):
```
&SYSTEM
  ibrav = 0, nat = 4, ntyp = 3
/
ATOMIC_SPECIES
Sr 87.62 Sr.upf
La 138.91 La.upf
Re 186.21 Re.upf
CELL_PARAMETERS angstrom
2.9968 -5.0740 0.0000
2.9968 5.0740 0.0000
-0.9361 0.0000 2.7760
ATOMIC_POSITIONS crystal
Sr 0.0000 0.0000 0.0000
La 0.5000 0.5000 0.0000
Re 0.0000 0.5000 0.5000
Re 0.5000 0.0000 0.5000
```

# 4
# LiNb2RhN

LiNb2RhN after structural relaxation (PBE-GGA, Alexandria). Values from VASP.

## Properties
SG   P4/mmm (123)
Energy relative to the elements, uncorrected   -519 meV per atom

Structure (Quantum ESPRESSO input):
```
&SYSTEM
  ibrav = 0, nat = 5, ntyp = 4
/
ATOMIC_SPECIES
Li 6.94 Li.upf
Nb 92.91 Nb.upf
Rh 102.91 Rh.upf
N 14.01 N.upf
CELL_PARAMETERS angstrom
4.2546 0.0000 0.0000
0.0000 4.2546 0.0000
0.0000 0.0000 3.7646
ATOMIC_POSITIONS crystal
Li 0.0000 0.0000 0.0000
Nb 0.0000 0.5000 0.5000
Nb 0.5000 0.0000 0.5000
Rh 0.5000 0.5000 0.0000
N 0.0000 0.0000 0.5000
```

# 5
# CuTcTe2

CuTcTe2 after structural relaxation (PBE-GGA, Alexandria). Values from VASP.

## Properties
SG   Cmmm (65)
Energy relative to the elements, uncorrected   609 meV per atom
Energy above the most stable polymorph in this dataset   472.6 meV/atom

Structure (Quantum ESPRESSO input):
```
&SYSTEM
  ibrav = 0, nat = 4, ntyp = 3
/
ATOMIC_SPECIES
Cu 63.55 Cu.upf
Tc 98.00 Tc.upf
Te 127.60 Te.upf
CELL_PARAMETERS angstrom
1.7293 -2.7662 0.0000
1.7293 2.7662 0.0000
0.0000 0.0000 8.4820
ATOMIC_POSITIONS crystal
Cu 0.0000 0.0000 0.0000
Tc 0.0000 0.0000 0.5000
Te 0.5000 0.5000 0.2530
Te 0.5000 0.5000 0.7470
```

# 6
# Ag2Hg2Te

Ag2Hg2Te after structural relaxation (PBE-GGA, Alexandria). Values from VASP.

## Properties
SG   P4/mbm (127)
Energy relative to the elements, uncorrected   136 meV per atom
Energy above the most stable polymorph in this dataset   30.2 meV/atom

Structure (Quantum ESPRESSO input):
```
&SYSTEM
  ibrav = 0, nat = 10, ntyp = 3
/
ATOMIC_SPECIES
Ag 107.87 Ag.upf
Hg 200.59 Hg.upf
Te 127.60 Te.upf
CELL_PARAMETERS angstrom
8.5941 0.0000 0.0000
0.0000 8.5941 0.0000
0.0000 0.0000 3.1401
ATOMIC_POSITIONS crystal
Ag 0.1168 0.3832 0.0000
Ag 0.3832 0.8832 0.0000
Ag 0.6168 0.1168 0.0000
Ag 0.8832 0.6168 0.0000
Hg 0.1783 0.6783 0.5000
Hg 0.3217 0.1783 0.5000
Hg 0.6783 0.8217 0.5000
Hg 0.8217 0.3217 0.5000
Te 0.0000 0.0000 0.5000
Te 0.5000 0.5000 0.5000
```

# 7
# Tb12Er7Sc

Tb12Er7Sc after structural relaxation (PBE-GGA, Alexandria). Values from VASP.

## Properties
SG   R-3 (148)
Formation energy from the elements   0.1796 eV/atom
Energy above the most stable polymorph in this dataset   0.0 meV/atom

Structure (Quantum ESPRESSO input):
```
&SYSTEM
  ibrav = 0, nat = 20, ntyp = 3
/
ATOMIC_SPECIES
Tb 158.93 Tb.upf
Er 167.26 Er.upf
Sc 44.96 Sc.upf
CELL_PARAMETERS angstrom
7.4503 4.3014 3.2787
-7.4503 4.3014 3.2787
0.0000 -8.6029 3.2787
ATOMIC_POSITIONS crystal
Tb 0.0748 0.8078 0.2804
Tb 0.1236 0.2118 0.4436
Tb 0.1922 0.7196 0.9252
Tb 0.2118 0.4436 0.1236
Tb 0.2804 0.0748 0.8078
Tb 0.4436 0.1236 0.2118
Tb 0.5564 0.8764 0.7882
Tb 0.7196 0.9252 0.1922
Tb 0.7882 0.5564 0.8764
Tb 0.8078 0.2804 0.0748
Tb 0.8764 0.7882 0.5564
Tb 0.9252 0.1922 0.7196
Er 0.0000 0.0000 0.0000
Er 0.1778 0.6169 0.5014
Er 0.3831 0.4986 0.8222
Er 0.4986 0.8222 0.3831
Er 0.5014 0.1778 0.6169
Er 0.6169 0.5014 0.1778
Er 0.8222 0.3831 0.4986
Sc 0.5000 0.5000 0.5000
```

# 8
# LiAl2TlSe4

LiAl2TlSe4 after structural relaxation (PBE-GGA, Alexandria). Values from VASP.

## Properties
SG   I-42m (121)
Energy relative to the elements, uncorrected   -778 meV per atom

Structure (Quantum ESPRESSO input):
```
&SYSTEM
  ibrav = 0, nat = 8, ntyp = 4
/
ATOMIC_SPECIES
Li 6.94 Li.upf
Al 26.98 Al.upf
Tl 204.38 Tl.upf
Se 78.96 Se.upf
CELL_PARAMETERS angstrom
-2.8175 2.8175 7.0327
2.8175 -2.8175 7.0327
2.8175 2.8175 -7.0327
ATOMIC_POSITIONS crystal
Li 0.0000 0.0000 0.0000
Al 0.2500 0.7500 0.5000
Al 0.7500 0.2500 0.5000
Tl 0.5000 0.5000 0.0000
Se 0.0723 0.0723 0.4456
Se 0.3734 0.9277 0.0000
Se 0.6266 0.6266 0.5544
Se 0.9277 0.3734 0.0000
```